1.
# K2PuSnBr8 PBE relaxed
# Final energy: -4.13 eV per atom
# Formation energy (no corrections): -1.3003 eV/atom
data_K2PuSnBr8
_cell_length_a 7.5456
_cell_length_b 7.0390
_cell_length_c 9.0612
_cell_angle_alpha 90.02
_cell_angle_beta 89.98
_cell_angle_gamma 92.92
_symmetry_space_group_name_H-M 'P 1'
_symmetry_Int_Tables_number 1
loop_
_symmetry_equiv_pos_as_xyz
'x,y,z'
loop_
_atom_site_label
_atom_site_type_symbol
_atom_site_fract_x
_atom_site_fract_y
_atom_site_fract_z
_atom_site_occupancy
Br1 Br 0.1269 0.7789 0.7676 1
Br2 Br 0.3162 0.2155 0.0002 1
Br3 Br 0.1265 0.7787 0.2322 1
Br4 Br 0.8731 0.2211 0.2324 1
Br5 Br 0.6838 0.7845 0.9998 1
Br6 Br 0.8735 0.2213 0.7678 1
Br7 Br 0.6798 0.7688 0.5003 1
Br8 Br 0.3202 0.2312 0.4997 1
Sn1 Sn 0.0000 0.0000 0.5000 1
K1 K 0.5000 0.4996 0.7472 1
K2 K 0.5000 0.5004 0.2528 1
Pu1 Pu 0.0000 0.0000 0.0000 1

2.
# CePS3 PBE relaxed
# Final energy: -5.66 eV per atom
# Formation energy (no corrections): -0.9160 eV/atom
data_CePS3
_cell_length_a 7.6815
_cell_length_b 7.6815
_cell_length_c 7.6815
_cell_angle_alpha 130.80
_cell_angle_beta 78.01
_cell_angle_gamma 123.66
_symmetry_space_group_name_H-M 'P 1'
_symmetry_Int_Tables_number 1
loop_
_symmetry_equiv_pos_as_xyz
'x,y,z'
loop_
_atom_site_label
_atom_site_type_symbol
_atom_site_fract_x
_atom_site_fract_y
_atom_site_fract_z
_atom_site_occupancy
S1 S 0.0810 0.7368 0.8442 1
S2 S 0.5221 0.3693 0.1930 1
S3 S 0.8926 0.2368 0.1558 1
S4 S 0.1763 0.8693 0.3471 1
S5 S 0.1763 0.3292 0.8070 1
S6 S 0.5221 0.8292 0.6529 1
Ce1 Ce 0.1638 0.2722 0.3916 1
Ce2 Ce 0.8806 0.7722 0.6084 1
P1 P 0.4290 0.9509 0.9781 1
P2 P 0.9728 0.4509 0.0219 1

3.
# PmGaSeO2 PBE relaxed
# Final energy: -6.42 eV per atom
# Formation energy (no corrections): -2.1818 eV/atom
data_PmGaSeO2
_cell_length_a 4.1061
_cell_length_b 6.3493
_cell_length_c 7.2716
_cell_angle_alpha 93.85
_cell_angle_beta 90.00
_cell_angle_gamma 90.00
_symmetry_space_group_name_H-M 'P 1'
_symmetry_Int_Tables_number 1
loop_
_symmetry_equiv_pos_as_xyz
'x,y,z'
loop_
_atom_site_label
_atom_site_type_symbol
_atom_site_fract_x
_atom_site_fract_y
_atom_site_fract_z
_atom_site_occupancy
Ga1 Ga 0.2500 0.9092 0.8605 1
Ga2 Ga 0.7500 0.0908 0.1395 1
Pm1 Pm 0.2500 0.7798 0.3816 1
Pm2 Pm 0.7500 0.2202 0.6184 1
Se1 Se 0.7500 0.4500 0.2550 1
Se2 Se 0.2500 0.5500 0.7450 1
O1 O 0.7500 0.9527 0.3689 1
O2 O 0.7500 0.0096 0.8840 1
O3 O 0.2500 0.9904 0.1160 1
O4 O 0.2500 0.0473 0.6311 1

4.
# LaRuPt PBE relaxed
# Final energy: -7.22 eV per atom
# DFT formation energy: -0.474 eV per atom
data_LaRuPt
_cell_length_a 8.0268
_cell_length_b 4.4097
_cell_length_c 8.1017
_cell_angle_alpha 90.00
_cell_angle_beta 96.41
_cell_angle_gamma 90.00
_symmetry_space_group_name_H-M 'P 1'
_symmetry_Int_Tables_number 1
loop_
_symmetry_equiv_pos_as_xyz
'x,y,z'
loop_
_atom_site_label
_atom_site_type_symbol
_atom_site_fract_x
_atom_site_fract_y
_atom_site_fract_z
_atom_site_occupancy
Pt1 Pt 0.5000 0.5000 0.0000 1
Pt2 Pt 0.0000 0.5000 0.0000 1
Pt3 Pt 0.0000 0.0000 0.5000 1
Pt4 Pt 0.5000 0.0000 0.5000 1
La1 La 0.7067 0.5000 0.3543 1
La2 La 0.2933 0.0000 0.1457 1
La3 La 0.2933 0.5000 0.6457 1
La4 La 0.7067 0.0000 0.8543 1
Ru1 Ru 0.0385 0.5000 0.3233 1
Ru2 Ru 0.0385 0.0000 0.8233 1
Ru3 Ru 0.9615 0.0000 0.1767 1
Ru4 Ru 0.9615 0.5000 0.6767 1

Question: final energy of number 3 (PmGaSeO2)?
Answer: -6.42 eV per atom